{"formula": "EuAuI2", "functional": "PBE-GGA", "state": "relaxed", "lattice": [[2.251, 1.300, 9.496], [-2.251, 1.300, 9.496], [0.000, -2.599, 9.496]], "species": ["Eu", "Au", "I", "I"], "frac_coords": [[0.000, 0.000, 0.000], [0.500, 0.500, 0.500], [0.402, 0.402, 0.402], [0.598, 0.598, 0.598]], "sg": "R-3m (166)"}


{"formula": "LaInPt", "functional": "PBE-GGA", "state": "relaxed", "lattice": [[7.747, 0.000, 0.000], [-3.874, 6.709, 0.000], [0.000, 0.000, 4.195]], "species": ["La", "La", "La", "In", "In", "In", "Pt", "Pt", "Pt"], "frac_coords": [[0.000, 0.588, 0.000], [0.412, 0.412, 0.000], [0.588, 0.000, 0.000], [0.000, 0.247, 0.500], [0.247, 0.000, 0.500], [0.753, 0.753, 0.500], [0.000, 0.000, 0.000], [0.333, 0.667, 0.500], [0.667, 0.333, 0.500]], "sg": "P-62m (189)", "e_form_ev_per_atom": -0.997}


{"formula": "EuHo2Pu", "functional": "PBE-GGA", "state": "relaxed", "lattice": [[1.734, 1.001, 12.328], [-1.734, 1.001, 12.328], [0.000, -2.002, 12.328]], "species": ["Eu", "Ho", "Ho", "Pu"], "frac_coords": [[0.000, 0.000, 0.000], [0.092, 0.092, 0.092], [0.908, 0.908, 0.908], [0.500, 0.500, 0.500]], "sg": "R-3m (166)", "e_form_ev_per_atom": 0.245}


{"formula": "Li2UGeSe4", "functional": "PBE-GGA", "state": "relaxed", "lattice": [[6.769, 0.000, 0.000], [0.000, 4.048, 0.000], [-2.391, 0.000, 6.674]], "species": ["Li", "Li", "U", "Ge", "Se", "Se", "Se", "Se"], "frac_coords": [[0.000, 0.000, 0.000], [0.000, 0.500, 0.500], [0.500, 0.000, 0.500], [0.500, 0.500, 0.000], [0.248, 0.500, 0.248], [0.254, 0.000, 0.746], [0.746, 0.000, 0.254], [0.752, 0.500, 0.752]], "sg": "P2/m (10)"}


{"formula": "NbZnPb2", "functional": "PBE-GGA", "state": "relaxed", "lattice": [[-3.954, 3.954, 3.029], [3.954, -3.954, 3.029], [3.954, 3.954, -3.029]], "species": ["Nb", "Nb", "Zn", "Zn", "Pb", "Pb", "Pb", "Pb"], "frac_coords": [[0.000, 0.000, 0.000], [0.750, 0.250, 0.500], [0.250, 0.750, 0.500], [0.500, 0.500, 0.000], [0.141, 0.625, 0.016], [0.375, 0.391, 0.516], [0.609, 0.125, 0.984], [0.875, 0.859, 0.484]], "sg": "I-42d (122)", "e_form_ev_per_atom": 0.661}


{"formula": "ZnSb4Se", "functional": "PBE-GGA", "state": "relaxed", "lattice": [[0.000, 4.366, 4.366], [4.366, 0.000, 4.366], [4.366, 4.366, 0.000]], "species": ["Zn", "Sb", "Sb", "Sb", "Sb", "Se"], "frac_coords": [[0.000, 0.000, 0.000], [0.131, 0.623, 0.623], [0.623, 0.131, 0.623], [0.623, 0.623, 0.131], [0.623, 0.623, 0.623], [0.250, 0.250, 0.250]], "sg": "F-43m (216)"}


{"formula": "Ac3Be2GaPd9", "functional": "PBE-GGA", "state": "relaxed", "lattice": [[6.063, 0.000, 0.000], [-3.031, 5.251, 0.000], [0.000, 0.000, 9.279]], "species": ["Ac", "Ac", "Ac", "Be", "Be", "Ga", "Pd", "Pd", "Pd", "Pd", "Pd", "Pd", "Pd", "Pd", "Pd"], "frac_coords": [[0.000, 0.000, 0.000], [0.333, 0.667, 0.659], [0.667, 0.333, 0.341], [0.333, 0.667, 0.152], [0.667, 0.333, 0.848], [0.000, 0.000, 0.500], [0.000, 0.500, 0.000], [0.165, 0.331, 0.298], [0.165, 0.835, 0.298], [0.331, 0.165, 0.702], [0.500, 0.000, 0.000], [0.500, 0.500, 0.000], [0.669, 0.835, 0.298], [0.835, 0.165, 0.702], [0.835, 0.669, 0.702]], "sg": "P-3m1 (164)", "e_form_ev_per_atom": -0.695}


{"formula": "Rb3Nd2CdSe6", "functional": "PBE-GGA", "state": "relaxed", "lattice": [[3.738, -6.473, 0.000], [3.738, 6.473, 0.000], [-2.489, 0.000, 8.083]], "species": ["Rb", "Rb", "Rb", "Nd", "Nd", "Cd", "Se", "Se", "Se", "Se", "Se", "Se"], "frac_coords": [[0.000, 0.000, 0.000], [0.334, 0.666, 0.000], [0.666, 0.334, 0.000], [0.167, 0.833, 0.500], [0.833, 0.167, 0.500], [0.500, 0.500, 0.500], [0.104, 0.433, 0.300], [0.237, 0.237, 0.700], [0.433, 0.104, 0.300], [0.567, 0.896, 0.700], [0.763, 0.763, 0.300], [0.896, 0.567, 0.700]], "sg": "C2/m (12)"}


{"formula": "MnGa2Fe5", "functional": "PBE-GGA", "state": "relaxed", "lattice": [[-1.277, 4.046, 4.876], [1.277, -4.046, 4.876], [1.277, 4.046, -4.876]], "species": ["Mn", "Ga", "Ga", "Fe", "Fe", "Fe", "Fe", "Fe"], "frac_coords": [[0.000, 0.000, 0.000], [0.242, 0.742, 0.500], [0.758, 0.258, 0.500], [0.143, 0.376, 0.767], [0.391, 0.624, 0.767], [0.500, 0.000, 0.500], [0.609, 0.376, 0.233], [0.857, 0.624, 0.233]], "sg": "Immm (71)", "e_form_ev_per_atom": 0.047}


{"formula": "LaAl2ZnSn", "functional": "PBE-GGA", "state": "relaxed", "lattice": [[5.681, 0.000, 0.000], [0.000, 5.681, 0.000], [0.000, 0.000, 5.512]], "species": ["La", "Al", "Al", "Zn", "Sn"], "frac_coords": [[0.000, 0.000, 0.000], [0.000, 0.500, 0.000], [0.500, 0.000, 0.000], [0.000, 0.000, 0.500], [0.500, 0.500, 0.500]], "sg": "P4/mmm (123)", "e_form_ev_per_atom": 1.022}


{"formula": "HfTaTiAu", "functional": "PBE-GGA", "state": "relaxed", "lattice": [[0.000, 3.313, 3.313], [3.313, 0.000, 3.313], [3.313, 3.313, 0.000]], "species": ["Hf", "Ta", "Ti", "Au"], "frac_coords": [[0.000, 0.000, 0.000], [0.250, 0.250, 0.250], [0.500, 0.500, 0.500], [0.750, 0.750, 0.750]], "sg": "F-43m (216)", "e_form_ev_per_atom": -0.100}


{"formula": "MnCS2", "functional": "PBE-GGA", "state": "relaxed", "lattice": [[-2.384, 2.384, 4.482], [2.384, -2.384, 4.482], [2.384, 2.384, -4.482]], "species": ["Mn", "Mn", "C", "C", "S", "S", "S", "S"], "frac_coords": [[0.000, 0.000, 0.000], [0.750, 0.250, 0.500], [0.250, 0.750, 0.500], [0.500, 0.500, 0.000], [0.158, 0.625, 0.033], [0.375, 0.408, 0.533], [0.592, 0.125, 0.967], [0.875, 0.842, 0.467]], "sg": "I-42d (122)"}


One value per record, in order, for D(E_F): 7.469; 7.374; 12.137; 4.500; 10.554; 4.576; 4.950; 14.705; 7.219; 3.281; 3.558; 4.598 states/eV/cell.
One value per record, in order, for total DFT energy (no corrections): -19.3; -50.1; -32.8; -41.3; -32.2; -18.7; -80.0; -50.0; -57.2; -12.6; -33.4; -47.7 eV per cell.